(1)
VASP calculation (PBE with a Hubbard U) on a relaxed BaLiCrO4 crystal.

Calculated values
Calculated volume   18.325 A^3/atom
Energy   -6.44 eV/atom
Mass density   3.37 g cm⁻³

Cell and atoms, written as CIF:
```
data_BaLiCrO4
_chemical_formula_sum 'Ba1 Li1 Cr1 O4'
_space_group_name_H-M_alt 'P 1'
_space_group_IT_number 1
_space_group_name_Hall 'P 1'
_cell_length_a 5.6119
_cell_length_b 5.6119
_cell_length_c 5.6866
_cell_angle_alpha 119.57
_cell_angle_beta 119.57
_cell_angle_gamma 90.00
loop_
_atom_site_label
_atom_site_type_symbol
_atom_site_fract_x
_atom_site_fract_y
_atom_site_fract_z
O1 O 0.9082 0.5060 0.2557
O2 O 0.2503 0.0918 0.7443
O3 O 0.4940 0.6526 0.7443
O4 O 0.3474 0.7497 0.2557
Ba1 Ba 0.0000 0.0000 0.0000
Cr1 Cr 0.2500 0.7500 0.5000
Li1 Li 0.5000 0.5000 0.0000
```

***

(2)
VASP calculation (PBE with a Hubbard U) on a relaxed BaLiCr2O8 crystal.

Calculated values
Calculated volume   14.342 A^3/atom
Energy   -6.41 eV/atom
Mass density   3.63 g cm⁻³
Fermi-level density of states   8.20 states/eV/cell

Cell and atoms, written as CIF:
```
data_BaLiCr2O8
_chemical_formula_sum 'Ba1 Li1 Cr2 O8'
_space_group_name_H-M_alt 'P 1'
_space_group_IT_number 1
_space_group_name_Hall 'P 1'
_cell_length_a 5.0842
_cell_length_b 5.0842
_cell_length_c 8.2295
_cell_angle_alpha 72.01
_cell_angle_beta 72.01
_cell_angle_gamma 60.00
loop_
_atom_site_label
_atom_site_type_symbol
_atom_site_fract_x
_atom_site_fract_y
_atom_site_fract_z
Cr1 Cr 0.2550 0.2550 0.2349
Cr2 Cr 0.7450 0.7450 0.7651
O1 O 0.1823 0.1823 0.4532
O2 O 0.4103 0.7264 0.8286
O3 O 0.2736 0.9653 0.1714
O4 O 0.5897 0.2736 0.1714
O5 O 0.9653 0.5897 0.1714
O6 O 0.0347 0.4103 0.8286
O7 O 0.8177 0.8177 0.5468
O8 O 0.7264 0.0347 0.8286
Ba1 Ba 0.5000 0.5000 0.5000
Li1 Li 0.0000 0.0000 0.0000
```

***

(3)
VASP calculation (PBE with a Hubbard U) on a relaxed Ba3Li2CrO6 crystal.

Calculated values
Calculated volume   16.435 A^3/atom
Energy   -5.97 eV/atom
Mass density   4.83 g cm⁻³
Fermi-level density of states   4.79 states/eV/cell

Cell and atoms, written as CIF:
```
data_Ba3Li2CrO6
_chemical_formula_sum 'Ba3 Li2 Cr1 O6'
_space_group_name_H-M_alt 'P 1'
_space_group_IT_number 1
_space_group_name_Hall 'P 1'
_cell_length_a 5.8557
_cell_length_b 5.8557
_cell_length_c 6.6414
_cell_angle_alpha 90.00
_cell_angle_beta 90.00
_cell_angle_gamma 120.00
loop_
_atom_site_label
_atom_site_type_symbol
_atom_site_fract_x
_atom_site_fract_y
_atom_site_fract_z
O1 O 0.1601 0.8399 0.3219
O2 O 0.1601 0.3202 0.3219
O3 O 0.8399 0.1601 0.6781
O4 O 0.3202 0.1601 0.6781
O5 O 0.8399 0.6798 0.6781
O6 O 0.6798 0.8399 0.3219
Ba1 Ba 0.3333 0.6667 0.6435
Ba2 Ba 0.0000 0.0000 0.0000
Ba3 Ba 0.6667 0.3333 0.3565
Li1 Li 0.3333 0.6667 0.2356
Li2 Li 0.6667 0.3333 0.7644
Cr1 Cr 0.0000 0.0000 0.5000
```